1.
Compound: BaBe2Fe
Source: Alexandria
Functional: PBE
Structure: relaxed

Cell: 5.2235 5.2235 5.2235 Å, 136.69 108.63 87.30°
Each line ends with the local moment (μB).
Atoms (fractional coordinates):
Fe  0.7500  0.2500  0.5000  2.17
Be  0.6090  0.6090  0.0000  -0.08
Be  0.8910  0.8910  0.0000  -0.08
Ba  0.2500  0.7500  0.5000  -0.09

Results
Spin magnetization ... 1.676 μB/f.u.


2.
Compound: BaBe2Fe
Source: Alexandria
Functional: PBE
Structure: relaxed

Cell: 4.6568 4.6568 4.6568 Å, 60.00 60.00 60.00°
Atoms (fractional coordinates):
Be  0.2500  0.2500  0.2500
Be  0.7500  0.7500  0.7500
Ba  0.5000  0.5000  0.5000
Fe  0.0000  0.0000  0.0000

Results
Spin magnetization ... 0.000 μB/f.u.


Which of them is the least stable? Correct choice: 2.


1.
Compound: BaBe2Fe
Source: Alexandria
Functional: PBE
Structure: relaxed

Cell: 3.8971 3.8971 6.1213 Å, 71.50 71.50 60.00°
Each line ends with the local moment (μB).
Atoms (fractional coordinates):
Be  0.0691  0.0691  0.7910  -0.05
Be  0.7469  0.7469  0.7576  -0.05
Ba  0.2507  0.2507  0.2530  -0.07
Fe  0.4333  0.4333  0.6984  1.69

Results
Spin magnetization ... 1.376 μB/f.u.


2.
Compound: BaBe2Fe
Source: Alexandria
Functional: PBE
Structure: relaxed

Cell: 3.5197 3.2622 6.5119 Å, 77.81 90.00 90.00°
Each line ends with the local moment (μB).
Atoms (fractional coordinates):
Be  0.0000  0.1283  0.1087  -0.07
Be  0.5000  0.0604  0.2907  -0.10
Ba  0.5000  0.7770  0.7726  -0.03
Fe  0.0000  0.5342  0.3280  2.05

Results
Spin magnetization ... 1.715 μB/f.u.


3.
Compound: BaBe2Fe
Source: Alexandria
Functional: PBE
Structure: relaxed

Cell: 6.1888 6.1888 6.1888 Å, 36.99 36.99 36.99°
Each line ends with the local moment (μB).
Atoms (fractional coordinates):
Fe  0.2500  0.2500  0.2500  2.08
Be  0.5705  0.5705  0.5705  -0.05
Be  0.9295  0.9295  0.9295  -0.05
Ba  0.7500  0.7500  0.7500  -0.09

Results
Spin magnetization ... 1.794 μB/f.u.


Which of them is the least stable? Correct choice: 2.


1.
Compound: BaBe3Fe
Source: Alexandria
Functional: PBE
Structure: relaxed

Cell: 4.9357 4.9357 4.9357 Å, 90.00 90.00 90.00°
Each line ends with the local moment (μB).
Atoms (fractional coordinates):
Be  0.0000  0.5000  0.0000  -0.01
Be  0.5000  0.0000  0.0000  -0.02
Be  0.0000  0.0000  0.5000  0.01
Fe  0.5000  0.5000  0.5000  0.39
Ba  0.0000  0.0000  0.0000  0.01

Results
Spin magnetization ... 0.130 μB/f.u.


2.
Compound: BaBe3Fe
Source: Alexandria
Functional: PBE
Structure: relaxed

Cell: 4.4016 4.4016 4.4016 Å, 90.00 90.00 90.00°
Atoms (fractional coordinates):
Ba  0.5000  0.5000  0.5000
Be  0.0000  0.0000  0.5000
Be  0.5000  0.0000  0.0000
Be  0.0000  0.5000  0.0000
Fe  0.0000  0.0000  0.0000

Results
Spin magnetization ... 0.000 μB/f.u.


Which of them is the least stable? Correct choice: 1.


1.
Compound: BaBeGa3
Source: Alexandria
Functional: PBE
Structure: relaxed

Cell: 4.8290 4.8290 4.8290 Å, 90.00 90.00 90.00°
Atoms (fractional coordinates):
Ba  0.5000  0.5000  0.5000
Ga  0.0000  0.5000  0.0000
Ga  0.5000  0.0000  0.0000
Ga  0.0000  0.0000  0.5000
Be  0.0000  0.0000  0.0000

Results
Spin magnetization ... 0.000 μB/f.u.


2.
Compound: BaBeGa3
Source: Alexandria
Functional: PBE
Structure: relaxed

Cell: 6.0610 6.0610 6.0610 Å, 90.00 90.00 90.00°
Atoms (fractional coordinates):
Ga  0.0000  0.5000  0.0000
Ga  0.0000  0.0000  0.5000
Ga  0.5000  0.0000  0.0000
Ba  0.0000  0.0000  0.0000
Be  0.5000  0.5000  0.5000

Results
Spin magnetization ... 0.000 μB/f.u.


Which of them is the least stable? Correct choice: 2.


1.
Compound: BaBe3Ga
Source: Alexandria
Functional: PBE
Structure: relaxed

Cell: 4.5611 4.5611 4.5611 Å, 90.00 90.00 90.00°
Atoms (fractional coordinates):
Be  0.0000  0.5000  0.0000
Be  0.5000  0.0000  0.0000
Be  0.0000  0.0000  0.5000
Ba  0.5000  0.5000  0.5000
Ga  0.0000  0.0000  0.0000

Results
Spin magnetization ... 0.000 μB/f.u.


2.
Compound: BaBe3Ga
Source: Alexandria
Functional: PBE
Structure: relaxed

Cell: 5.6688 5.6688 5.6688 Å, 90.00 90.00 90.00°
Each line ends with the local moment (μB).
Atoms (fractional coordinates):
Ga  0.5000  0.5000  0.5000  0.00
Be  0.5000  0.0000  0.0000  0.06
Be  0.0000  0.0000  0.5000  0.01
Be  0.0000  0.5000  0.0000  0.01
Ba  0.0000  0.0000  0.0000  0.09

Results
Spin magnetization ... 0.359 μB/f.u.


Which of them is the least stable? Correct choice: 2.


1.
Compound: BaBeGaMo2
Source: Alexandria
Functional: PBE
Structure: relaxed

Cell: 4.6601 4.3669 4.6601 Å, 90.00 90.00 90.00°
Each line ends with the local moment (μB).
Atoms (fractional coordinates):
Be  0.0000  0.0000  0.0000  -0.01
Mo  0.5000  0.0000  0.0000  0.43
Mo  0.0000  0.0000  0.5000  0.63
Ba  0.5000  0.5000  0.5000  0.05
Ga  0.0000  0.5000  0.0000  -0.02

Results
Spin magnetization ... 1.212 μB/f.u.


2.
Compound: BaBeGaMo2
Source: Alexandria
Functional: PBE
Structure: relaxed

Cell: 4.9806 4.3250 4.9806 Å, 90.00 90.00 90.00°
Each line ends with the local moment (μB).
Atoms (fractional coordinates):
Mo  0.5000  0.0000  0.0000  1.09
Mo  0.0000  0.0000  0.5000  1.39
Ba  0.5000  0.5000  0.5000  0.09
Be  0.0000  0.5000  0.0000  -0.04
Ga  0.0000  0.0000  0.0000  -0.03

Results
Spin magnetization ... 2.901 μB/f.u.


Which of them is the least stable? Correct choice: 2.


1.
Compound: BaBeGe3
Source: Alexandria
Functional: PBE
Structure: relaxed

Cell: 5.8368 5.8368 5.8368 Å, 90.00 90.00 90.00°
Atoms (fractional coordinates):
Ba  0.0000  0.0000  0.0000
Ge  0.0000  0.0000  0.5000
Ge  0.5000  0.0000  0.0000
Ge  0.0000  0.5000  0.0000
Be  0.5000  0.5000  0.5000

Results
Spin magnetization ... 0.000 μB/f.u.


2.
Compound: BaBeGe3
Source: Alexandria
Functional: PBE
Structure: relaxed

Cell: 4.8070 4.8070 4.8070 Å, 90.00 90.00 90.00°
Atoms (fractional coordinates):
Be  0.0000  0.0000  0.0000
Ba  0.5000  0.5000  0.5000
Ge  0.5000  0.0000  0.0000
Ge  0.0000  0.0000  0.5000
Ge  0.0000  0.5000  0.0000

Results
Spin magnetization ... 0.000 μB/f.u.


Which of them is the least stable? Correct choice: 1.


1.
Compound: BaBe2H6
Source: Alexandria
Functional: PBE
Structure: relaxed

Cell: 4.4241 7.2350 7.2350 Å, 84.50 64.87 64.87°
Atoms (fractional coordinates):
H  0.1116  0.4147  0.3139
H  0.1095  0.1316  0.5023
H  0.3905  0.4977  0.8684
H  0.6116  0.3139  0.4147
H  0.8144  0.9108  0.8282
H  0.1856  0.0892  0.1718
H  0.6095  0.5023  0.1316
H  0.8905  0.8684  0.4977
H  0.8884  0.5853  0.6861
H  0.3144  0.8282  0.9108
H  0.3884  0.6861  0.5853
H  0.6856  0.1718  0.0892
Be  0.4831  0.6567  0.7651
Be  0.9831  0.7651  0.6567
Be  0.0169  0.2349  0.3433
Be  0.5169  0.3433  0.2349
Ba  0.2500  0.2001  0.7999
Ba  0.7500  0.7999  0.2001

Results
Spin magnetization ... 0.000 μB/f.u.


2.
Compound: BaBe2H6
Source: Alexandria
Functional: PBE
Structure: relaxed

Cell: 5.1288 5.1287 5.1287 Å, 60.00 60.00 60.00°
Atoms (fractional coordinates):
H  0.6281  0.6281  0.3719
H  0.6281  0.3719  0.3719
H  0.6281  0.3719  0.6281
H  0.3719  0.3719  0.6281
H  0.3719  0.6281  0.3719
H  0.3719  0.6281  0.6281
Be  0.2500  0.2500  0.2500
Be  0.7500  0.7500  0.7500
Ba  0.0000  0.0000  0.0000

Results
Spin magnetization ... 0.000 μB/f.u.


Which of them is the least stable? Correct choice: 2.


1.
Compound: BaBeH2
Source: Alexandria
Functional: PBE
Structure: relaxed

Cell: 4.5106 4.5106 4.5106 Å, 60.00 60.00 60.00°
Atoms (fractional coordinates):
Be  0.0000  0.0000  0.0000
H  0.7500  0.7500  0.7500
H  0.2500  0.2500  0.2500
Ba  0.5000  0.5000  0.5000

Results
Spin magnetization ... 0.000 μB/f.u.


2.
Compound: BaBeH2
Source: Alexandria
Functional: PBE
Structure: relaxed

Cell: 4.6262 4.6262 6.1141 Å, 67.77 67.77 90.00°
Atoms (fractional coordinates):
Ba  0.7500  0.2500  0.5000
Ba  0.0000  0.0000  0.0000
Be  0.5000  0.5000  0.0000
Be  0.2500  0.7500  0.5000
H  0.3758  0.1250  0.2500
H  0.3742  0.6250  0.2500
H  0.8750  0.6258  0.7500
H  0.3750  0.6242  0.7500

Results
Spin magnetization ... 0.000 μB/f.u.


Which of them is the least stable? Correct choice: 1.


1.
Compound: Ba2Hf2Be
Source: Alexandria
Functional: PBE
Structure: relaxed

Cell: 3.9987 3.9987 10.9731 Å, 79.50 79.50 90.00°
Atoms (fractional coordinates):
Hf  0.7500  0.2500  0.5000
Hf  0.2500  0.7500  0.5000
Ba  0.4095  0.4095  0.1811
Ba  0.5905  0.5905  0.8189
Be  0.0000  0.0000  0.0000

Results
Spin magnetization ... 0.000 μB/f.u.


2.
Compound: Ba2Hf2Be
Source: Alexandria
Functional: PBE
Structure: relaxed

Cell: 7.8309 7.8309 5.4395 Å, 90.00 90.00 90.00°
Atoms (fractional coordinates):
Hf  0.1328  0.6328  0.5000
Hf  0.6328  0.8672  0.5000
Hf  0.3672  0.1328  0.5000
Hf  0.8672  0.3672  0.5000
Ba  0.3445  0.8445  0.0000
Ba  0.1555  0.3445  0.0000
Ba  0.8445  0.6555  0.0000
Ba  0.6555  0.1555  0.0000
Be  0.5000  0.5000  0.0000
Be  0.0000  0.0000  0.0000

Results
Spin magnetization ... 0.000 μB/f.u.


Which of them is the least stable? Correct choice: 2.


1.
Compound: BaHfBe2
Source: Alexandria
Functional: PBE
Structure: relaxed

Cell: 7.5921 7.5921 6.4331 Å, 53.84 53.84 90.00°
Atoms (fractional coordinates):
Hf  0.0000  0.0000  0.0000
Hf  0.7500  0.2500  0.5000
Be  0.6905  0.1250  0.2500
Be  0.3750  0.3095  0.7500
Be  0.8750  0.9405  0.7500
Be  0.0595  0.6250  0.2500
Ba  0.5000  0.5000  0.0000
Ba  0.2500  0.7500  0.5000

Results
Spin magnetization ... 0.000 μB/f.u.


2.
Compound: BaHfBe2
Source: Alexandria
Functional: PBE
Structure: relaxed

Cell: 4.9356 4.9356 4.9356 Å, 60.00 60.00 60.00°
Atoms (fractional coordinates):
Ba  0.0000  0.0000  0.0000
Hf  0.5000  0.5000  0.5000
Be  0.2500  0.2500  0.2500
Be  0.7500  0.7500  0.7500

Results
Spin magnetization ... 0.000 μB/f.u.


Which of them is the least stable? Correct choice: 1.


1.
Compound: BaHfBe3
Source: Alexandria
Functional: PBE
Structure: relaxed

Cell: 4.7217 4.7217 4.7217 Å, 90.00 90.00 90.00°
Atoms (fractional coordinates):
Be  0.0000  0.0000  0.5000
Be  0.0000  0.5000  0.0000
Be  0.5000  0.0000  0.0000
Hf  0.5000  0.5000  0.5000
Ba  0.0000  0.0000  0.0000

Results
Spin magnetization ... 0.000 μB/f.u.


2.
Compound: BaHfBe3
Source: Alexandria
Functional: PBE
Structure: relaxed

Cell: 5.0102 5.0102 5.0102 Å, 90.00 90.00 90.00°
Each line ends with the local moment (μB).
Atoms (fractional coordinates):
Ba  0.5000  0.5000  0.5000  0.04
Be  0.0000  0.5000  0.0000  0.09
Be  0.5000  0.0000  0.0000  0.12
Be  0.0000  0.0000  0.5000  0.04
Hf  0.0000  0.0000  0.0000  0.57

Results
Spin magnetization ... 1.528 μB/f.u.


Which of them is the least stable? Correct choice: 1.